Compound: Tb4Dy3Y8
Source: Alexandria
Functional: PBE
Structure: relaxed

a = 9.2764 Å, b = 9.2764 Å, c = 6.7465 Å
α = 111.31°, β = 111.31°, γ = 87.42°
Fractional positions:
1 Tb 0.0000 0.0000 0.0000
2 Tb 0.0000 0.0000 0.5000
3 Tb 0.0000 0.5000 0.0000
4 Tb 0.5000 0.0000 0.0000
5 Dy 0.0000 0.5000 0.5000
6 Dy 0.5000 0.0000 0.5000
7 Dy 0.5000 0.5000 0.0000
8 Y 0.2517 0.7483 0.0000
9 Y 0.2658 0.2658 0.5070
10 Y 0.2667 0.2667 0.0283
11 Y 0.3577 0.6423 0.5000
12 Y 0.6423 0.3577 0.5000
13 Y 0.7333 0.7333 0.9717
14 Y 0.7342 0.7342 0.4930
15 Y 0.7483 0.2517 0.0000

Calculated values
* calculated volume: 33.4 Å³/atom
* space-group type: C2/m (12)
* ΔE to the lowest computed polymorph: 247 meV/atom
* uncorrected energy: -78.1 eV per cell